1.
The following is a GGA-PBE calculation of crystalline AlCu2Te at its relaxed geometry, from Alexandria via LeMat-Bulk.

The structure belongs to space group I4/mmm (No. 139); the cell edges are 4.2270, 4.2270 and 7.7722 Å and the angles 90.00°, 90.00° and 90.00°. The asymmetric unit holds Al at (0.0000, 0.0000, 0.0000), Cu at (0.0000, 0.5000, 0.2500) and Te at (0.0000, 0.0000, 0.5000).

The uncorrected formation energy is 0.252 eV per atom. For the total energy, the calculation gives -3.517 eV/atom. The crystal system is tetragonal. For the energy above the most stable polymorph in this dataset, the calculation gives 0.201 eV/atom.


2.
The following is a GGA-PBE calculation of crystalline Tb3MnTl3Te8 at its relaxed geometry, from Alexandria via LeMat-Bulk.

The structure belongs to space group R-3m (No. 166, hexagonal axes); the cell edges are 8.7011, 8.7011 and 24.7297 Å and the angles 90.00°, 90.00° and 120.00°. The asymmetric unit holds Tb at (0.0000, 0.5000, 0.0000), Mn at (0.0000, 0.0000, 0.0000), Tl at (0.0000, 0.5000, 0.5000), Te at (0.0000, 0.0000, 0.2608) and Te at (0.0293, 0.5146, 0.7329).

The uncorrected formation energy is -0.818 eV per atom. For the total energy, the calculation gives -4.504 eV/atom. The crystal system is trigonal.


3.
The following is a GGA-PBE calculation of crystalline NaSm2Cu at its relaxed geometry, from Alexandria via LeMat-Bulk.

The structure belongs to space group R-3m (No. 166, hexagonal axes); the cell edges are 3.5596, 3.5596 and 33.7345 Å and the angles 90.00°, 90.00° and 120.00°. The asymmetric unit holds Na at (0.0000, 0.0000, 0.0000), Sm at (0.0000, 0.0000, 0.1059) and Cu at (0.0000, 0.0000, 0.5000).

For the total energy, the calculation gives -3.526 eV/atom. The crystal system is trigonal. For the calculated formation energy, the calculation gives 0.187 eV per atom. For the energy above the most stable polymorph in this dataset, the calculation gives 0.145 eV/atom.


4.
The following is a GGA-PBE calculation of crystalline NbF6 at its relaxed geometry, from Alexandria via LeMat-Bulk.

The structure belongs to space group Im-3m (No. 229); the cell edges are 6.7193, 6.7193 and 6.7193 Å and the angles 90.00°, 90.00° and 90.00°. The asymmetric unit holds Nb at (0.0000, 0.0000, 0.0000) and F at (0.0000, 0.0000, 0.2885).

The uncorrected formation energy is -2.419 eV per atom. For the total energy, the calculation gives -5.461 eV/atom. The crystal system is cubic.


5.
The following is a GGA-PBE calculation of crystalline Ac3SnIr at its relaxed geometry, from Alexandria via LeMat-Bulk.

The structure belongs to space group Pnma (No. 62); the cell edges are 9.1911, 4.7448 and 16.0727 Å and the angles 90.00°, 90.00° and 90.00°. The asymmetric unit holds Ac at (0.0242, 0.2500, 0.1091), Ac at (0.1576, 0.2500, 0.5066), Ac at (0.1905, 0.7500, 0.2872), Sn at (0.0865, 0.7500, 0.6730) and Ir at (0.1643, 0.2500, 0.9419).

For the total energy, the calculation gives -5.695 eV/atom. The crystal system is orthorhombic. For the calculated formation energy, the calculation gives -0.657 eV per atom. For the energy above the most stable polymorph in this dataset, the calculation gives 0.000 eV/atom.


6.
The following is a GGA-PBE calculation of crystalline Cd2NiPd at its relaxed geometry, from Alexandria via LeMat-Bulk.

The structure belongs to space group R-3m (No. 166, hexagonal axes); the cell edges are 2.8817, 2.8817 and 29.3079 Å and the angles 90.00°, 90.00° and 120.00°. The asymmetric unit holds Cd at (0.0000, 0.0000, 0.0930), Ni at (0.0000, 0.0000, 0.5000) and Pd at (0.0000, 0.0000, 0.0000).

For the total energy, the calculation gives -3.055 eV/atom. The crystal system is trigonal. For the calculated formation energy, the calculation gives 0.146 eV per atom.


7.
The following is a GGA-PBE calculation of crystalline Ca2ErUSb4 at its relaxed geometry, from Alexandria via LeMat-Bulk.

The structure belongs to space group P2/m (No. 10); the cell edges are 7.6440, 4.4602 and 7.7349 Å and the angles 90.00°, 109.31° and 90.00°. The asymmetric unit holds Ca at (0.0000, 0.0000, 0.0000), Ca at (0.5000, 0.5000, 0.0000), Er at (0.0000, 0.5000, 0.5000), U at (0.5000, 0.0000, 0.5000), Sb at (0.2501, 0.0000, 0.7336) and Sb at (0.2593, 0.5000, 0.2674).

The uncorrected formation energy is -0.773 eV per atom. For the total energy, the calculation gives -5.316 eV/atom. The crystal system is monoclinic.


8.
The following is a GGA-PBE calculation of crystalline NaCrSb2 at its relaxed geometry, from Alexandria via LeMat-Bulk.

The structure belongs to space group I-42d (No. 122); the cell edges are 6.5312, 6.5312 and 13.3889 Å and the angles 90.00°, 90.00° and 90.00°. The asymmetric unit holds Na at (0.0000, 0.0000, 0.0000), Cr at (0.0000, 0.0000, 0.5000) and Sb at (0.1425, 0.2500, 0.6250).

The uncorrected formation energy is 0.326 eV per atom. For the total energy, the calculation gives -4.471 eV/atom. The crystal system is tetragonal. For the energy above the most stable polymorph in this dataset, the calculation gives 0.334 eV/atom.